[1]
The following is a DFT calculation (GGA-PBE) of a relaxed InNiGe2Pt crystal.

```
InNiGe2Pt
1.0
-3.822 -1.463 2.410
2.462 0.248 4.054
-1.436 4.711 0.584
Ge In Ni Pt
2 1 1 1
Direct
0.000 0.500 0.000
0.500 0.000 0.000
0.500 0.500 0.500
0.000 0.000 0.500
0.000 0.000 0.000
```

Calculated values
D(E_F) (states/eV per atom): 1.132
Magnetization (μB/f.u.): 0.41
Space-group type: No. 123
Calculated total energy (eV/cell): -22.0
E_form (eV per atom): 0.3557



[2]
The following is a DFT calculation (GGA-PBE) of a relaxed Pu2InNi3Ge4 crystal.

```
Pu2InNi3Ge4
1.0
4.143 0.000 0.000
0.000 4.143 0.000
0.000 0.000 10.359
Ge Pu Ni In
4 2 3 1
Direct
0.000 0.000 0.000
0.000 0.500 0.338
0.500 0.500 0.000
0.500 0.000 0.662
0.500 0.000 0.232
0.000 0.500 0.768
0.500 0.000 0.885
0.000 0.000 0.500
0.000 0.500 0.115
0.500 0.500 0.500
```

Calculated values
D(E_F) (states/eV per atom): 2.757
Magnetization (μB/f.u.): 10.38
Space-group type: No. 115
Calculated total energy (eV/cell): -71.2
E_form (eV per atom): -0.3960



[3]
The following is a DFT calculation (GGA-PBE) of a relaxed Pu2InNi4Ge3 crystal.

```
Pu2InNi4Ge3
1.0
-0.987 1.621 -3.672
1.145 -3.511 -1.858
-9.351 -3.549 0.947
Ni Pu Ge In
4 2 3 1
Direct
0.500 0.500 0.000
0.500 0.000 0.646
0.000 0.500 0.354
0.000 0.000 0.000
0.500 0.000 0.237
0.000 0.500 0.763
0.500 0.000 0.878
0.000 0.000 0.500
0.000 0.500 0.122
0.500 0.500 0.500
```

Calculated values
D(E_F) (states/eV per atom): 2.883
Magnetization (μB/f.u.): 10.48
Space-group type: No. 115
Calculated total energy (eV/cell): -72.4
E_form (eV per atom): -0.3976



[4]
The following is a DFT calculation (GGA-PBE) of a relaxed InNiGe2Ru crystal.

```
InNiGe2Ru
1.0
-1.264 4.659 -1.553
-3.837 -1.938 -2.690
-3.026 0.498 3.957
Ni Ge In Ru
1 2 1 1
Direct
0.500 0.500 0.500
0.500 0.000 0.000
0.000 0.500 0.000
0.000 0.000 0.000
0.000 0.000 0.500
```

Calculated values
D(E_F) (states/eV per atom): 1.830
Magnetization (μB/f.u.): 2.33
Space-group type: No. 123
Calculated total energy (eV/cell): -18.4
E_form (eV per atom): 1.7245



[5]
The following is a DFT calculation (GGA-PBE) of a relaxed InNiGeS2 crystal.

```
InNiGeS2
1.0
-1.677 0.090 4.089
-3.739 -3.300 -1.461
2.571 -3.414 1.129
Ge Ni S In
1 1 2 1
Direct
0.500 0.500 0.500
0.000 0.000 0.000
0.500 0.000 0.000
0.000 0.000 0.500
0.000 0.500 0.000
```

Calculated values
Uncorrected formation energy (eV/atom): 0.29
D(E_F) (states/eV per atom): 0.726
Magnetization (μB/f.u.): 0.00
Space-group type: No. 123
Calculated total energy (eV/cell): -20.0



[6]
The following is a DFT calculation (GGA-PBE) of a relaxed In2NiGeS crystal.

```
In2NiGeS
1.0
-3.655 -1.700 -3.735
1.188 -3.789 0.562
-3.767 -0.594 3.956
Ni S In Ge
1 1 2 1
Direct
0.000 0.500 0.000
0.000 0.000 0.000
0.000 0.000 0.500
0.500 0.000 0.000
0.500 0.500 0.500
```

Calculated values
Uncorrected formation energy (eV/atom): 0.29
D(E_F) (states/eV per atom): 0.806
Magnetization (μB/f.u.): 0.00
Space-group type: No. 123
Calculated total energy (eV/cell): -18.6



[7]
The following is a DFT calculation (GGA-PBE) of a relaxed In2NiGeSe crystal.

```
In2NiGeSe
1.0
5.308 0.000 0.000
0.000 5.038 0.000
0.000 0.000 5.308
Ni Se In Ge
1 1 2 1
Direct
0.500 0.500 0.500
0.000 0.500 0.000
0.500 0.000 0.000
0.000 0.000 0.500
0.000 0.000 0.000
```

Calculated values
Uncorrected formation energy (eV/atom): 0.80
D(E_F) (states/eV per atom): 1.365
Magnetization (μB/f.u.): 0.06
Space-group type: No. 123
Calculated total energy (eV/cell): -15.4



[8]
The following is a DFT calculation (GGA-PBE) of a relaxed Sm2InNi3Ge4 crystal.

```
Sm2InNi3Ge4
1.0
-0.657 3.845 -1.450
-0.621 -1.544 -3.814
-10.122 -0.962 2.037
Ni Sm Ge In
3 2 4 1
Direct
0.000 0.500 0.116
0.500 0.000 0.884
0.000 0.000 0.500
0.000 0.500 0.768
0.500 0.000 0.232
0.500 0.500 0.000
0.500 0.000 0.660
0.000 0.500 0.340
0.000 0.000 0.000
0.500 0.500 0.500
```

Calculated values
D(E_F) (states/eV per atom): 0.406
Magnetization (μB/f.u.): 0.00
Space-group type: No. 115
Calculated total energy (eV/cell): -53.9
E_form (eV per atom): -0.5955



[9]
The following is a DFT calculation (GGA-PBE) of a relaxed SmInNi5Ge2 crystal.

```
SmInNi5Ge2
1.0
-1.558 -4.011 0.733
4.017 -1.645 -0.462
1.202 0.873 7.333
Ni Ge In Sm
5 2 1 1
Direct
0.500 0.000 0.729
0.000 0.500 0.271
0.000 0.500 0.729
0.500 0.000 0.271
0.500 0.500 0.500
0.500 0.500 0.166
0.500 0.500 0.834
0.000 0.000 0.000
0.000 0.000 0.500
```

Calculated values
D(E_F) (states/eV per atom): 0.662
Magnetization (μB/f.u.): 0.00
Space-group type: No. 123
Calculated total energy (eV/cell): -46.9
E_form (eV per atom): -0.1444



[10]
The following is a DFT calculation (GGA-PBE) of a relaxed InNiSnGe2 crystal.

```
InNiSnGe2
1.0
-0.927 0.633 -4.454
4.388 -2.755 -1.304
-2.451 -3.885 -0.042
Ge Sn In Ni
2 1 1 1
Direct
0.500 0.000 0.000
0.000 0.000 0.500
0.000 0.500 0.000
0.500 0.500 0.500
0.000 0.000 0.000
```

Calculated values
D(E_F) (states/eV per atom): 0.464
Offset from the most stable computed form (meV/atom): 0
Magnetization (μB/f.u.): 0.00
Space-group type: No. 123
Calculated total energy (eV/cell): -21.1
E_form (eV per atom): 0.1366



[11]
The following is a DFT calculation (GGA-PBE) of a relaxed InNiSnGe2 crystal.

```
InNiSnGe2
1.0
5.228 0.000 0.000
0.000 4.780 0.000
0.000 0.000 5.228
Ni In Ge Sn
1 1 2 1
Direct
0.000 0.500 0.000
0.000 0.000 0.000
0.500 0.000 0.000
0.000 0.000 0.500
0.500 0.500 0.500
```

Calculated values
D(E_F) (states/eV per atom): 0.914
Offset from the most stable computed form (meV/atom): 726
Magnetization (μB/f.u.): 0.00
Space-group type: No. 123
Calculated total energy (eV/cell): -17.4
E_form (eV per atom): 0.8625



[12]
The following is a DFT calculation (GGA-PBE) of a relaxed Sr2InNi4Ge3 crystal.

```
Sr2InNi4Ge3
1.0
-2.021 1.337 3.558
0.125 -4.004 1.576
8.833 1.960 4.281
Sr Ni Ge In
2 4 3 1
Direct
0.000 0.500 0.760
0.500 0.000 0.240
0.500 0.000 0.643
0.000 0.500 0.357
0.500 0.500 0.000
0.000 0.000 0.000
0.000 0.000 0.500
0.000 0.500 0.114
0.500 0.000 0.886
0.500 0.500 0.500
```

Calculated values
D(E_F) (states/eV per atom): 0.828
Magnetization (μB/f.u.): 0.00
Space-group type: No. 115
Calculated total energy (eV/cell): -47.2
E_form (eV per atom): -0.4123